Below is an optimized crystal structure of PrGd2Zn, with properties calculated at the PBE level.

Results
DFT formation energy = 0.27 eV/atom
Relative energy among the computed polymorphs = 434 meV/atom
VASP energy = -8.29 eV/atom
SG = No. 166

```
data_PrGd2Zn
_cell_length_a 12.1065
_cell_length_b 12.1065
_cell_length_c 12.1065
_cell_angle_alpha 16.77
_cell_angle_beta 16.77
_cell_angle_gamma 16.77
_symmetry_space_group_name_H-M 'P 1'
_symmetry_Int_Tables_number 1
loop_
_symmetry_equiv_pos_as_xyz
'x,y,z'
loop_
_atom_site_label
_atom_site_type_symbol
_atom_site_fract_x
_atom_site_fract_y
_atom_site_fract_z
Pr1 Pr 0.0000 0.0000 0.0000
Gd1 Gd 0.4149 0.4149 0.4149
Gd2 Gd 0.5851 0.5851 0.5851
Zn1 Zn 0.5000 0.5000 0.5000
```